VASP calculation (PBE) on a relaxed KBeRe crystal.

## Properties
* relative energy among the computed polymorphs: 98.6 meV per atom
* ΔH_f (0 K): 1.002 eV per atom

Cell lengths 7.716, 7.716, 7.716 Å; angles 159.87, 159.87, 28.62 degrees
Positions (direct):
Re  0.637  0.637  0.000
K  0.332  0.332  0.000
Be  0.031  0.031  0.000

VASP calculation (PBE) on a relaxed KBeRe2Se crystal.

## Properties
* energy relative to the elements, uncorrected: 3.611 eV per atom

Cell lengths 4.685, 5.257, 4.685 Å; angles 90.00, 90.00, 90.00 degrees
Positions (direct):
Be  0.500  0.500  0.500
Se  0.000  0.500  0.000
K  0.000  0.000  0.000
Re  0.000  0.000  0.500
Re  0.500  0.000  0.000

VASP calculation (PBE) on a relaxed KY2BeRe crystal.

## Properties
* ΔH_f (0 K): 0.597 eV per atom

Cell lengths 5.418, 5.418, 4.839 Å; angles 90.00, 90.00, 90.00 degrees
Positions (direct):
Y  0.500  0.000  0.000
Re  0.000  0.000  0.000
Y  0.000  0.500  0.000
K  0.500  0.500  0.500
Be  0.000  0.000  0.500

| no. | mass density (g/cm3) | electronic total energy (eV/atom) |
| --- | --- | --- |
| 1 | 7.15 | -4.756 |
| 2 | 7.19 | -3.030 |
| 3 | 4.82 | -5.443 |